The following is a DFT calculation (PBE-GGA) of an optimized crystal structure of Th2CdGa2Rh5.

a b c (Å): 9.9352 9.9352 3.7057
angles (deg): 90.00 90.00 90.00
Space group P4/mbm (No. 127)
Inequivalent atoms, fractional coordinates:
Th  0.1788  0.3212  0.0000 (multiplicity 4)
Cd  0.0000  0.0000  0.0000 (multiplicity 2)
Ga  0.1190  0.6190  0.0000 (multiplicity 4)
Rh  0.0000  0.5000  0.5000 (multiplicity 2)
Rh  0.0728  0.7882  0.5000 (multiplicity 8)

Size of the total moment: 0.00 μB per formula unit
Formation enthalpy at 0 K: -0.722 eV per atom
Calculated total energy: -131.6 eV/cell

The following is a DFT calculation (PBE-GGA) of an optimized crystal structure of Ac2ErHgTe5.

a b c (Å): 4.5371 19.5528 13.7337
angles (deg): 90.00 90.00 90.00
Space group Cmc2_1 (No. 36)
Inequivalent atoms, fractional coordinates:
Ac  0.0000  0.1213  0.0000 (multiplicity 4)
Ac  0.0000  0.1250  0.6213 (multiplicity 4)
Er  0.0000  0.1895  0.3194 (multiplicity 4)
Hg  0.0000  0.4341  0.7793 (multiplicity 4)
Te  0.0000  0.0402  0.4011 (multiplicity 4)
Te  0.0000  0.2936  0.9733 (multiplicity 4)
Te  0.0000  0.2980  0.6579 (multiplicity 4)
Te  0.0000  0.3498  0.3139 (multiplicity 4)
Te  0.0000  0.4963  0.5920 (multiplicity 4)

E_form (uncorrected): -10.89 eV/f.u.
Size of the total moment: 0.00 μB per formula unit
Calculated total energy: -158.7 eV/cell

The following is a DFT calculation (PBE-GGA) of an optimized crystal structure of Sm2CoB10.

a b c (Å): 5.5972 11.1614 4.1730
angles (deg): 90.00 90.00 90.00
Space group Pbam (No. 55)
Inequivalent atoms, fractional coordinates:
Sm  0.1983  0.1342  0.0000 (multiplicity 4)
Co  0.0000  0.5000  0.5000 (multiplicity 2)
B  0.0319  0.3136  0.5000 (multiplicity 4)
B  0.1279  0.9597  0.5000 (multiplicity 4)
B  0.1574  0.8024  0.5000 (multiplicity 4)
B  0.2005  0.3869  0.2006 (multiplicity 8)

Size of the total moment: 0.00 μB per formula unit
Formation enthalpy at 0 K: -0.541 eV per atom
Calculated total energy: -180.7 eV/cell